DFT (PBE) results for an optimized crystal structure of DyCu7O12.

Cell lengths 6.3353, 6.3353, 6.3353 Å; angles 109.47, 109.47, 109.47 degrees
Last column: nearest neighbours and their distance in Å.
Positions (direct):
Cu1 0.0000 0.0000 0.5000  6 O 1.97
O1 0.8311 0.5256 0.6945  3 Cu 1.88-1.97
O2 0.1689 0.8633 0.6945  3 Cu 1.88-1.97
O3 0.6945 0.1689 0.8633  3 Cu 1.88-1.97
Cu2 0.5000 0.0000 0.5000  4 O 1.88
Cu3 0.5000 0.5000 0.0000  4 O 1.88
O4 0.8311 0.1367 0.3055  3 Cu 1.88-1.97
Cu4 0.0000 0.5000 0.5000  4 O 1.88
Cu5 0.5000 0.0000 0.0000  6 O 1.97
O5 0.1689 0.4744 0.3055  3 Cu 1.88-1.97
Cu6 0.5000 0.5000 0.5000  6 O 1.97
O6 0.4744 0.3055 0.1689  3 Cu 1.88-1.97
O7 0.6945 0.8311 0.5256  3 Cu 1.88-1.97
Dy1 0.0000 0.0000 0.0000  12 O 2.55
O8 0.8633 0.6945 0.1689  3 Cu 1.88-1.97
O9 0.5256 0.6945 0.8311  3 Cu 1.88-1.97
O10 0.3055 0.8311 0.1367  3 Cu 1.88-1.97
Cu7 0.0000 0.5000 0.0000  6 O 1.97
O11 0.1367 0.3055 0.8311  3 Cu 1.88-1.97
O12 0.3055 0.1689 0.4744  3 Cu 1.88-1.97

Results
For the total magnetic moment, the calculation gives 0.00 μB per formula unit. The formation energy from raw total energies comes out at -0.8376 eV per atom.

=====

DFT (PBE) results for an optimized crystal structure of Dy2Cu2O5.

Cell lengths 3.9485, 4.8743, 6.6585 Å; angles 112.85, 107.25, 90.00 degrees
Last column: nearest neighbours and their distance in Å.
Positions (direct):
Cu1 0.8982 0.1967 0.7964  4 O 1.89-1.98
Dy1 0.3812 0.6653 0.7624  6 O 2.28-2.46
O1 0.0000 0.0000 0.0000  2 Cu 1.90
Cu2 0.1018 0.8033 0.2036  4 O 1.89-1.98
O2 0.4102 0.1953 0.8204  2 Cu 1.98
O3 0.1905 0.5728 0.3811  1 Cu 1.89
Dy2 0.6188 0.3347 0.2376  6 O 2.28-2.46
O4 0.8095 0.4272 0.6189  1 Cu 1.89
O5 0.5898 0.8047 0.1796  2 Cu 1.98

Results
For the total magnetic moment, the calculation gives 0.47 μB per formula unit. The energy above the lowest structure with this stoichiometry is 37 meV per atom. The formation energy from raw total energies comes out at -2.1829 eV per atom.

=====

Number 1: VASP energy -109.52 eV per cell. Number 2: VASP energy -61.83 eV per cell.